Arrangement P

First-principles (GGA-PBE) data for a relaxed structure of InPtOF2, as listed in Alexandria.

Structure (CIF):
```
data_InPtOF2
_chemical_formula_sum 'In1 Pt1 O1 F2'
_symmetry_space_group_name_H-M 'P 4/m m m'
_symmetry_Int_Tables_number 123
_symmetry_space_group_name_Hall '-P 4 2'
_cell_length_a 4.240
_cell_length_b 4.240
_cell_length_c 4.270
_cell_angle_alpha 90.00
_cell_angle_beta 90.00
_cell_angle_gamma 90.00
loop_
_atom_site_label
_atom_site_type_symbol
_atom_site_fract_x
_atom_site_fract_y
_atom_site_fract_z
In1 In 0.000 0.000 0.000
Pt1 Pt 0.500 0.500 0.500
O1 O 0.000 0.000 0.500
F1 F 0.000 0.500 0.000
```

Properties
* theoretical density: 7872 kg/m3

Arrangement Q

First-principles (GGA-PBE) data for a relaxed structure of InPtOF2, as listed in Alexandria.

Structure (CIF):
```
data_InPtOF2
_chemical_formula_sum 'In1 Pt1 O1 F2'
_symmetry_space_group_name_H-M 'P 4/m m m'
_symmetry_Int_Tables_number 123
_symmetry_space_group_name_Hall '-P 4 2'
_cell_length_a 4.613
_cell_length_b 4.613
_cell_length_c 3.791
_cell_angle_alpha 90.00
_cell_angle_beta 90.00
_cell_angle_gamma 90.00
loop_
_atom_site_label
_atom_site_type_symbol
_atom_site_fract_x
_atom_site_fract_y
_atom_site_fract_z
In1 In 0.000 0.000 0.000
Pt1 Pt 0.500 0.500 0.500
O1 O 0.500 0.500 0.000
F1 F 0.000 0.500 0.500
```

Properties
* theoretical density: 7491 kg/m3

Which of them is most stable, and which least? Most stable: arrangement Q; least stable: arrangement P.

Arrangement P

First-principles (GGA-PBE) data for a relaxed structure of InReOF2, as listed in Alexandria.

Structure (CIF):
```
data_InReOF2
_chemical_formula_sum 'In1 Re1 O1 F2'
_symmetry_space_group_name_H-M 'P 4/m m m'
_symmetry_Int_Tables_number 123
_symmetry_space_group_name_Hall '-P 4 2'
_cell_length_a 4.420
_cell_length_b 4.420
_cell_length_c 4.129
_cell_angle_alpha 90.00
_cell_angle_beta 90.00
_cell_angle_gamma 90.00
loop_
_atom_site_label
_atom_site_type_symbol
_atom_site_fract_x
_atom_site_fract_y
_atom_site_fract_z
In1 In 0.000 0.000 0.000
Re1 Re 0.500 0.500 0.500
O1 O 0.000 0.000 0.500
F1 F 0.000 0.500 0.000
```

Properties
* theoretical density: 7310 kg/m3

Arrangement Q

First-principles (GGA-PBE) data for a relaxed structure of InReOF2, as listed in Alexandria.

Structure (CIF):
```
data_InReOF2
_chemical_formula_sum 'In1 Re1 O1 F2'
_symmetry_space_group_name_H-M 'P 4/m m m'
_symmetry_Int_Tables_number 123
_symmetry_space_group_name_Hall '-P 4 2'
_cell_length_a 4.408
_cell_length_b 4.408
_cell_length_c 3.834
_cell_angle_alpha 90.00
_cell_angle_beta 90.00
_cell_angle_gamma 90.00
loop_
_atom_site_label
_atom_site_type_symbol
_atom_site_fract_x
_atom_site_fract_y
_atom_site_fract_z
In1 In 0.000 0.000 0.000
Re1 Re 0.500 0.500 0.500
O1 O 0.500 0.500 0.000
F1 F 0.000 0.500 0.500
```

Properties
* theoretical density: 7915 kg/m3

Which of them is most stable, and which least? Most stable: arrangement Q; least stable: arrangement P.